# 1
# SCAN Mg2AlAg, PBEsol geometry
# Formation energy   -0.105 eV per atom
# VASP energy   -12.3714 eV per atom
# Total magnetic moment   0.00 μB/atom
data_Mg2AlAg
_chemical_formula_sum 'Mg2 Al1 Ag1'
_cell_length_a 3.060
_cell_length_b 3.942
_cell_length_c 6.073
_cell_angle_alpha 90.00
_cell_angle_beta 90.00
_cell_angle_gamma 90.00
_symmetry_space_group_name_H-M 'P m m m'
_symmetry_Int_Tables_number 47
_symmetry_space_group_name_Hall '-P 2 2'
loop_
_atom_site_label
_atom_site_type_symbol
_atom_site_fract_x
_atom_site_fract_y
_atom_site_fract_z
_atom_site_occupancy
Mg1 Mg 0.000 0.000 0.244 1
Al1 Al 0.500 0.500 0.500 1
Ag1 Ag 0.500 0.500 0.000 1

---

# 2
# SCAN ScFe2Rh, PBEsol geometry
# Formation energy   -0.135 eV per atom
# VASP energy   -21.2019 eV per atom
# Total magnetic moment   1.48 μB/atom
data_ScFe2Rh
_chemical_formula_sum 'Sc1 Fe2 Rh1'
_cell_length_a 2.731
_cell_length_b 3.987
_cell_length_c 5.074
_cell_angle_alpha 90.00
_cell_angle_beta 90.00
_cell_angle_gamma 90.00
_symmetry_space_group_name_H-M 'P m m m'
_symmetry_Int_Tables_number 47
_symmetry_space_group_name_Hall '-P 2 2'
loop_
_atom_site_label
_atom_site_type_symbol
_atom_site_fract_x
_atom_site_fract_y
_atom_site_fract_z
_atom_site_occupancy
Sc1 Sc 0.000 0.000 0.000 1
Fe1 Fe 0.500 0.500 0.263 1
Rh1 Rh 0.000 0.000 0.500 1

---

# 3
# SCAN K2PbAu, PBEsol geometry
# Formation energy   -0.178 eV per atom
# VASP energy   -40.5773 eV per atom
# Total magnetic moment   0.01 μB/atom
data_K2PbAu
_chemical_formula_sum 'K2 Pb1 Au1'
_cell_length_a 3.899
_cell_length_b 3.899
_cell_length_c 9.853
_cell_angle_alpha 90.00
_cell_angle_beta 90.00
_cell_angle_gamma 90.00
_symmetry_space_group_name_H-M 'P 4 m m'
_symmetry_Int_Tables_number 99
_symmetry_space_group_name_Hall 'P 4 -2'
loop_
_atom_site_label
_atom_site_type_symbol
_atom_site_fract_x
_atom_site_fract_y
_atom_site_fract_z
_atom_site_occupancy
K1 K 0.000 0.000 0.000 1
K2 K 0.500 0.500 0.403 1
Pb1 Pb 0.000 0.000 0.658 1
Au1 Au 0.500 0.500 0.755 1

---

# 4
# SCAN AsRhCl2, PBEsol geometry
# ΔE_f (raw)   -0.7590 eV per atom
# VASP energy   -18.2384 eV per atom
# ΔE to the lowest computed polymorph   0 meV per atom
# Total magnetic moment   0.00 μB/atom
data_AsRhCl2
_chemical_formula_sum 'As1 Rh1 Cl2'
_cell_length_a 3.6014
_cell_length_b 3.6014
_cell_length_c 7.6829
_cell_angle_alpha 90.00
_cell_angle_beta 90.00
_cell_angle_gamma 120.00
_symmetry_space_group_name_H-M 'P 3 m 1'
_symmetry_Int_Tables_number 156
_symmetry_space_group_name_Hall 'P 3 -2"'
loop_
_atom_site_label
_atom_site_type_symbol
_atom_site_fract_x
_atom_site_fract_y
_atom_site_fract_z
_atom_site_occupancy
As1 As 0.0000 0.0000 0.0000 1
Rh1 Rh 0.3333 0.6667 0.8583 1
Cl1 Cl 0.0000 0.0000 0.2805 1
Cl2 Cl 0.6667 0.3333 0.6686 1

---

# 5
# SCAN CsRb3Au, PBEsol geometry
# Formation energy   -0.129 eV per atom
# VASP energy   -33.9660 eV per atom
# Total magnetic moment   0.10 μB/atom
data_CsRb3Au
_chemical_formula_sum 'Cs1 Rb3 Au1'
_cell_length_a 6.884
_cell_length_b 6.884
_cell_length_c 6.884
_cell_angle_alpha 90.00
_cell_angle_beta 90.00
_cell_angle_gamma 90.00
_symmetry_space_group_name_H-M 'P m -3 m'
_symmetry_Int_Tables_number 221
_symmetry_space_group_name_Hall '-P 4 2 3'
loop_
_atom_site_label
_atom_site_type_symbol
_atom_site_fract_x
_atom_site_fract_y
_atom_site_fract_z
_atom_site_occupancy
Cs1 Cs 0.000 0.000 0.000 1
Rb1 Rb 0.000 0.500 0.500 1
Au1 Au 0.500 0.500 0.500 1

---

# 6
# SCAN Sc2CuSe, PBEsol geometry
# ΔE_f (raw)   -0.8872 eV per atom
# VASP energy   -16.8251 eV per atom
# Total magnetic moment   0.00 μB/atom
data_Sc2CuSe
_chemical_formula_sum 'Sc2 Cu1 Se1'
_cell_length_a 3.765
_cell_length_b 3.765
_cell_length_c 5.398
_cell_angle_alpha 90.00
_cell_angle_beta 90.00
_cell_angle_gamma 90.00
_symmetry_space_group_name_H-M 'P 4/m m m'
_symmetry_Int_Tables_number 123
_symmetry_space_group_name_Hall '-P 4 2'
loop_
_atom_site_label
_atom_site_type_symbol
_atom_site_fract_x
_atom_site_fract_y
_atom_site_fract_z
_atom_site_occupancy
Sc1 Sc 0.000 0.000 0.000 1
Sc2 Sc 0.500 0.500 0.500 1
Cu1 Cu 0.000 0.000 0.500 1
Se1 Se 0.500 0.500 0.000 1

---

# 7
# SCAN PrAl2Si2, PBEsol geometry
# ΔE_f (raw)   -0.4187 eV per atom
# VASP energy   -16.1909 eV per atom
# Total magnetic moment   0.00 μB/atom
data_PrAl2Si2
_chemical_formula_sum 'Pr1 Al2 Si2'
_cell_length_a 4.2094
_cell_length_b 4.2094
_cell_length_c 6.7867
_cell_angle_alpha 90.00
_cell_angle_beta 90.00
_cell_angle_gamma 120.00
_symmetry_space_group_name_H-M 'P -3 m 1'
_symmetry_Int_Tables_number 164
_symmetry_space_group_name_Hall '-P 3 2"'
loop_
_atom_site_label
_atom_site_type_symbol
_atom_site_fract_x
_atom_site_fract_y
_atom_site_fract_z
_atom_site_occupancy
Pr1 Pr 0.0000 0.0000 0.0000 1
Al1 Al 0.3333 0.6667 0.6405 1
Si1 Si 0.3333 0.6667 0.2684 1

---

# 8
# SCAN TiSb2HIr, PBEsol geometry
# VASP energy   -32.2264 eV per atom
# Total magnetic moment   0.24 μB/atom
data_TiSb2HIr
_chemical_formula_sum 'Ti1 Sb2 H1 Ir1'
_cell_length_a 5.022
_cell_length_b 5.022
_cell_length_c 4.938
_cell_angle_alpha 90.00
_cell_angle_beta 90.00
_cell_angle_gamma 90.00
_symmetry_space_group_name_H-M 'P 4/m m m'
_symmetry_Int_Tables_number 123
_symmetry_space_group_name_Hall '-P 4 2'
loop_
_atom_site_label
_atom_site_type_symbol
_atom_site_fract_x
_atom_site_fract_y
_atom_site_fract_z
_atom_site_occupancy
Ti1 Ti 0.000 0.000 0.000 1
Sb1 Sb 0.000 0.500 0.500 1
H1 H 0.500 0.500 0.000 1
Ir1 Ir 0.000 0.000 0.500 1

---

# 9
# SCAN Ti2HS, PBEsol geometry
# VASP energy   -12.0906 eV per atom
# Total magnetic moment   0.00 μB/atom
data_Ti2HS
_chemical_formula_sum 'Ti8 H4 S4'
_cell_length_a 5.691
_cell_length_b 5.691
_cell_length_c 5.692
_cell_angle_alpha 90.00
_cell_angle_beta 90.00
_cell_angle_gamma 90.00
_symmetry_space_group_name_H-M 'I -4 2 d'
_symmetry_Int_Tables_number 122
_symmetry_space_group_name_Hall 'I -4 2bw'
loop_
_atom_site_label
_atom_site_type_symbol
_atom_site_fract_x
_atom_site_fract_y
_atom_site_fract_z
_atom_site_occupancy
Ti1 Ti 0.175 0.750 0.125 1
H1 H 0.000 0.000 0.000 1
S1 S 0.000 0.000 0.500 1

---

# 10
# SCAN CrAsSe2Br, PBEsol geometry
# ΔE_f (raw)   0.2766 eV per atom
# VASP energy   -19.3617 eV per atom
# Total magnetic moment   0.00 μB/atom
data_CrAsSe2Br
_chemical_formula_sum 'Cr1 As1 Se2 Br1'
_cell_length_a 4.564
_cell_length_b 4.564
_cell_length_c 4.883
_cell_angle_alpha 90.00
_cell_angle_beta 90.00
_cell_angle_gamma 90.00
_symmetry_space_group_name_H-M 'P 4/m m m'
_symmetry_Int_Tables_number 123
_symmetry_space_group_name_Hall '-P 4 2'
loop_
_atom_site_label
_atom_site_type_symbol
_atom_site_fract_x
_atom_site_fract_y
_atom_site_fract_z
_atom_site_occupancy
Cr1 Cr 0.000 0.000 0.000 1
As1 As 0.000 0.000 0.500 1
Se1 Se 0.000 0.500 0.000 1
Br1 Br 0.500 0.500 0.500 1

---

# 11
# SCAN TlCuBr2, PBEsol geometry
# ΔE_f (raw)   -0.4209 eV per atom
# VASP energy   -32.0400 eV per atom
# ΔE to the lowest computed polymorph   144 meV per atom
# Total magnetic moment   0.00 μB/atom
data_TlCuBr2
_chemical_formula_sum 'Tl1 Cu1 Br2'
_cell_length_a 3.666
_cell_length_b 3.666
_cell_length_c 8.003
_cell_angle_alpha 90.00
_cell_angle_beta 90.00
_cell_angle_gamma 90.00
_symmetry_space_group_name_H-M 'P 4 m m'
_symmetry_Int_Tables_number 99
_symmetry_space_group_name_Hall 'P 4 -2'
loop_
_atom_site_label
_atom_site_type_symbol
_atom_site_fract_x
_atom_site_fract_y
_atom_site_fract_z
_atom_site_occupancy
Tl1 Tl 0.000 0.000 0.000 1
Cu1 Cu 0.500 0.500 0.519 1
Br1 Br 0.000 0.000 0.582 1
Br2 Br 0.500 0.500 0.217 1

---

# 12
# SCAN BeSi2Ir, PBEsol geometry
# ΔE_f (raw)   0.2100 eV per atom
# VASP energy   -23.6610 eV per atom
# Total magnetic moment   0.00 μB/atom
data_BeSi2Ir
_chemical_formula_sum 'Be2 Si4 Ir2'
_cell_length_a 2.720
_cell_length_b 4.901
_cell_length_c 7.843
_cell_angle_alpha 90.00
_cell_angle_beta 90.00
_cell_angle_gamma 90.00
_symmetry_space_group_name_H-M 'C m m m'
_symmetry_Int_Tables_number 65
_symmetry_space_group_name_Hall '-C 2 2'
loop_
_atom_site_label
_atom_site_type_symbol
_atom_site_fract_x
_atom_site_fract_y
_atom_site_fract_z
_atom_site_occupancy
Be1 Be 0.000 0.000 0.000 1
Si1 Si 0.000 0.500 0.239 1
Ir1 Ir 0.000 0.000 0.500 1

---

# 13
# SCAN TmCdCu4, PBEsol geometry
# Formation energy   -0.292 eV per atom
# VASP energy   -24.1328 eV per atom
# Total magnetic moment   0.00 μB/atom
data_TmCdCu4
_chemical_formula_sum 'Tm4 Cd4 Cu16'
_cell_length_a 7.046
_cell_length_b 7.046
_cell_length_c 7.046
_cell_angle_alpha 90.00
_cell_angle_beta 90.00
_cell_angle_gamma 90.00
_symmetry_space_group_name_H-M 'F -4 3 m'
_symmetry_Int_Tables_number 216
_symmetry_space_group_name_Hall 'F -4 2 3'
loop_
_atom_site_label
_atom_site_type_symbol
_atom_site_fract_x
_atom_site_fract_y
_atom_site_fract_z
_atom_site_occupancy
Tm1 Tm 0.000 0.000 0.000 1
Cd1 Cd 0.250 0.250 0.750 1
Cu1 Cu 0.124 0.124 0.376 1